Compound: Cs3RuRh
Source: Alexandria via LeMat-Bulk
Functional: PBEsol
Structure: relaxed

```
data_Cs3RuRh
_chemical_formula_sum 'Cs3 Ru1 Rh1'
_cell_length_a 5.586
_cell_length_b 5.586
_cell_length_c 5.586
_cell_angle_alpha 90.00
_cell_angle_beta 90.00
_cell_angle_gamma 90.00
_symmetry_space_group_name_H-M 'P m -3 m'
_symmetry_Int_Tables_number 221
_symmetry_space_group_name_Hall '-P 4 2 3'
loop_
_atom_site_label
_atom_site_type_symbol
_atom_site_fract_x
_atom_site_fract_y
_atom_site_fract_z
Cs1 Cs 0.000 0.000 0.500
Ru1 Ru 0.000 0.000 0.000
Rh1 Rh 0.500 0.500 0.500
```

Output
Formation enthalpy at 0 K, eV/f.u.: 7.428
Total moment, μB/cell: 1.327
Fermi-level density of states, states/eV per cell: 15.5

=====

Compound: CsZnRuRh2
Source: Alexandria via LeMat-Bulk
Functional: PBEsol
Structure: relaxed

```
data_CsZnRuRh2
_chemical_formula_sum 'Cs1 Zn1 Ru1 Rh2'
_cell_length_a 4.691
_cell_length_b 4.691
_cell_length_c 4.710
_cell_angle_alpha 90.00
_cell_angle_beta 90.00
_cell_angle_gamma 90.00
_symmetry_space_group_name_H-M 'P 4/m m m'
_symmetry_Int_Tables_number 123
_symmetry_space_group_name_Hall '-P 4 2'
loop_
_atom_site_label
_atom_site_type_symbol
_atom_site_fract_x
_atom_site_fract_y
_atom_site_fract_z
Cs1 Cs 0.000 0.000 0.000
Zn1 Zn 0.500 0.500 0.500
Ru1 Ru 0.500 0.500 0.000
Rh1 Rh 0.000 0.500 0.500
```

Output
Formation enthalpy at 0 K, eV/f.u.: 6.967
Total moment, μB/cell: 3.465
Fermi-level density of states, states/eV per cell: 8.3

=====

Compound: CsRh3S
Source: Alexandria via LeMat-Bulk
Functional: PBEsol
Structure: relaxed

```
data_CsRh3S
_chemical_formula_sum 'Cs1 Rh3 S1'
_cell_length_a 4.522
_cell_length_b 4.522
_cell_length_c 4.522
_cell_angle_alpha 90.00
_cell_angle_beta 90.00
_cell_angle_gamma 90.00
_symmetry_space_group_name_H-M 'P m -3 m'
_symmetry_Int_Tables_number 221
_symmetry_space_group_name_Hall '-P 4 2 3'
loop_
_atom_site_label
_atom_site_type_symbol
_atom_site_fract_x
_atom_site_fract_y
_atom_site_fract_z
Cs1 Cs 0.000 0.000 0.000
Rh1 Rh 0.000 0.500 0.500
S1 S 0.500 0.500 0.500
```

Output
Electronic total energy, eV per atom: -5.5606
Total moment, μB/cell: 0.001
Fermi-level density of states, states/eV per cell: 4.5

=====

Compound: CsRh2S2
Source: Alexandria via LeMat-Bulk
Functional: PBEsol
Structure: relaxed

```
data_CsRh2S2
_chemical_formula_sum 'Cs2 Rh4 S4'
_cell_length_a 3.908
_cell_length_b 3.908
_cell_length_c 13.635
_cell_angle_alpha 90.00
_cell_angle_beta 90.00
_cell_angle_gamma 90.00
_symmetry_space_group_name_H-M 'I 4/m m m'
_symmetry_Int_Tables_number 139
_symmetry_space_group_name_Hall '-I 4 2'
loop_
_atom_site_label
_atom_site_type_symbol
_atom_site_fract_x
_atom_site_fract_y
_atom_site_fract_z
Cs1 Cs 0.000 0.000 0.000
Rh1 Rh 0.000 0.500 0.250
S1 S 0.000 0.000 0.345
```

Output
Electronic total energy, eV per atom: -5.7670
Total moment, μB/cell: 1.309
Fermi-level density of states, states/eV per cell: 11.2

=====

Compound: CsSb2TeRh
Source: Alexandria via LeMat-Bulk
Functional: PBEsol
Structure: relaxed

```
data_CsSb2TeRh
_chemical_formula_sum 'Cs1 Sb2 Te1 Rh1'
_cell_length_a 5.947
_cell_length_b 5.947
_cell_length_c 5.915
_cell_angle_alpha 90.00
_cell_angle_beta 90.00
_cell_angle_gamma 90.00
_symmetry_space_group_name_H-M 'P 4/m m m'
_symmetry_Int_Tables_number 123
_symmetry_space_group_name_Hall '-P 4 2'
loop_
_atom_site_label
_atom_site_type_symbol
_atom_site_fract_x
_atom_site_fract_y
_atom_site_fract_z
Cs1 Cs 0.000 0.000 0.000
Sb1 Sb 0.000 0.500 0.000
Te1 Te 0.000 0.000 0.500
Rh1 Rh 0.500 0.500 0.500
```

Output
Electronic total energy, eV per atom: -2.1539
Total moment, μB/cell: 1.706
Fermi-level density of states, states/eV per cell: 9.5

=====

Compound: CsSc2Rh
Source: Alexandria via LeMat-Bulk
Functional: PBEsol
Structure: relaxed

```
data_CsSc2Rh
_chemical_formula_sum 'Cs3 Sc6 Rh3'
_cell_length_a 3.8255
_cell_length_b 3.8255
_cell_length_c 29.9512
_cell_angle_alpha 90.00
_cell_angle_beta 90.00
_cell_angle_gamma 120.00
_symmetry_space_group_name_H-M 'R -3 m'
_symmetry_Int_Tables_number 166
_symmetry_space_group_name_Hall '-R 3 2"'
loop_
_atom_site_label
_atom_site_type_symbol
_atom_site_fract_x
_atom_site_fract_y
_atom_site_fract_z
Cs1 Cs 0.0000 0.0000 0.0000
Sc1 Sc 0.0000 0.0000 0.1235
Rh1 Rh 0.0000 0.0000 0.5000
```

Output
Formation enthalpy at 0 K, eV/f.u.: -0.313
Total moment, μB/cell: 0.001
Fermi-level density of states, states/eV per cell: 5.0

=====

Compound: CsY2ScRh
Source: Alexandria via LeMat-Bulk
Functional: PBEsol
Structure: relaxed

```
data_CsY2ScRh
_chemical_formula_sum 'Cs1 Y2 Sc1 Rh1'
_cell_length_a 5.331
_cell_length_b 5.331
_cell_length_c 5.300
_cell_angle_alpha 90.00
_cell_angle_beta 90.00
_cell_angle_gamma 90.00
_symmetry_space_group_name_H-M 'P 4/m m m'
_symmetry_Int_Tables_number 123
_symmetry_space_group_name_Hall '-P 4 2'
loop_
_atom_site_label
_atom_site_type_symbol
_atom_site_fract_x
_atom_site_fract_y
_atom_site_fract_z
Cs1 Cs 0.000 0.000 0.000
Y1 Y 0.000 0.500 0.500
Sc1 Sc 0.000 0.000 0.500
Rh1 Rh 0.500 0.500 0.000
```

Output
Formation enthalpy at 0 K, eV/f.u.: 7.392
Total moment, μB/cell: 0.001
Fermi-level density of states, states/eV per cell: 7.9

=====

Compound: CsRhSe2
Source: Alexandria via LeMat-Bulk
Functional: PBEsol
Structure: relaxed

```
data_CsRhSe2
_chemical_formula_sum 'Cs4 Rh4 Se8'
_cell_length_a 7.649
_cell_length_b 7.649
_cell_length_c 7.959
_cell_angle_alpha 90.00
_cell_angle_beta 90.00
_cell_angle_gamma 90.00
_symmetry_space_group_name_H-M 'I -4 2 d'
_symmetry_Int_Tables_number 122
_symmetry_space_group_name_Hall 'I -4 2bw'
loop_
_atom_site_label
_atom_site_type_symbol
_atom_site_fract_x
_atom_site_fract_y
_atom_site_fract_z
Cs1 Cs 0.000 0.000 0.000
Rh1 Rh 0.000 0.000 0.500
Se1 Se 0.125 0.250 0.625
```

Output
Electronic total energy, eV per atom: -4.7541
Total moment, μB/cell: 0.000
Fermi-level density of states, states/eV per cell: 5.3

=====

Compound: CsTaSn2Rh
Source: Alexandria via LeMat-Bulk
Functional: PBEsol
Structure: relaxed

```
data_CsTaSn2Rh
_chemical_formula_sum 'Cs1 Ta1 Sn2 Rh1'
_cell_length_a 5.295
_cell_length_b 5.295
_cell_length_c 5.688
_cell_angle_alpha 90.00
_cell_angle_beta 90.00
_cell_angle_gamma 90.00
_symmetry_space_group_name_H-M 'P 4/m m m'
_symmetry_Int_Tables_number 123
_symmetry_space_group_name_Hall '-P 4 2'
loop_
_atom_site_label
_atom_site_type_symbol
_atom_site_fract_x
_atom_site_fract_y
_atom_site_fract_z
Cs1 Cs 0.000 0.000 0.000
Ta1 Ta 0.000 0.000 0.500
Sn1 Sn 0.000 0.500 0.500
Rh1 Rh 0.500 0.500 0.000
```

Output
Formation enthalpy at 0 K, eV/f.u.: 7.454
Total moment, μB/cell: 1.418
Fermi-level density of states, states/eV per cell: 9.6

=====

Compound: CsZn2SnRh
Source: Alexandria via LeMat-Bulk
Functional: PBEsol
Structure: relaxed

```
data_CsZn2SnRh
_chemical_formula_sum 'Cs1 Zn2 Sn1 Rh1'
_cell_length_a 5.255
_cell_length_b 5.255
_cell_length_c 5.054
_cell_angle_alpha 90.00
_cell_angle_beta 90.00
_cell_angle_gamma 90.00
_symmetry_space_group_name_H-M 'P 4/m m m'
_symmetry_Int_Tables_number 123
_symmetry_space_group_name_Hall '-P 4 2'
loop_
_atom_site_label
_atom_site_type_symbol
_atom_site_fract_x
_atom_site_fract_y
_atom_site_fract_z
Cs1 Cs 0.000 0.000 0.000
Zn1 Zn 0.000 0.500 0.500
Sn1 Sn 0.500 0.500 0.500
Rh1 Rh 0.500 0.500 0.000
```

Output
Formation enthalpy at 0 K, eV/f.u.: 2.463
Total moment, μB/cell: 0.000
Fermi-level density of states, states/eV per cell: 4.5

=====

Compound: CsSrRh3
Source: Alexandria via LeMat-Bulk
Functional: PBEsol
Structure: relaxed

```
data_CsSrRh3
_chemical_formula_sum 'Cs1 Sr1 Rh3'
_cell_length_a 5.134
_cell_length_b 5.134
_cell_length_c 5.134
_cell_angle_alpha 90.00
_cell_angle_beta 90.00
_cell_angle_gamma 90.00
_symmetry_space_group_name_H-M 'P m -3 m'
_symmetry_Int_Tables_number 221
_symmetry_space_group_name_Hall '-P 4 2 3'
loop_
_atom_site_label
_atom_site_type_symbol
_atom_site_fract_x
_atom_site_fract_y
_atom_site_fract_z
Cs1 Cs 0.000 0.000 0.000
Sr1 Sr 0.500 0.500 0.500
Rh1 Rh 0.000 0.500 0.500
```

Output
Formation enthalpy at 0 K, eV/f.u.: 8.229
Total moment, μB/cell: 1.890
Fermi-level density of states, states/eV per cell: 11.1

=====

Compound: CsTe2Rh2
Source: Alexandria via LeMat-Bulk
Functional: PBEsol
Structure: relaxed

```
data_CsTe2Rh2
_chemical_formula_sum 'Cs2 Te4 Rh4'
_cell_length_a 4.139
_cell_length_b 4.139
_cell_length_c 15.318
_cell_angle_alpha 90.00
_cell_angle_beta 90.00
_cell_angle_gamma 90.00
_symmetry_space_group_name_H-M 'I 4/m m m'
_symmetry_Int_Tables_number 139
_symmetry_space_group_name_Hall '-I 4 2'
loop_
_atom_site_label
_atom_site_type_symbol
_atom_site_fract_x
_atom_site_fract_y
_atom_site_fract_z
Cs1 Cs 0.000 0.000 0.000
Te1 Te 0.000 0.000 0.352
Rh1 Rh 0.000 0.500 0.250
```

Output
Electronic total energy, eV per atom: -5.3119
Total moment, μB/cell: 0.005
Fermi-level density of states, states/eV per cell: 9.7